Record 1
Computed, not measured: an optimized crystal structure of CaRe2N4 at the PBE level of DFT.

Formation energy without anion corrections in kJ/mol of atoms: 112

The structure in CIF format:
```
data_CaRe2N4
_cell_length_a 4.296
_cell_length_b 4.296
_cell_length_c 6.408
_cell_angle_alpha 70.41
_cell_angle_beta 70.41
_cell_angle_gamma 90.00
_symmetry_space_group_name_H-M 'P 1'
_symmetry_Int_Tables_number 1
loop_
_symmetry_equiv_pos_as_xyz
'x,y,z'
loop_
_atom_site_label
_atom_site_type_symbol
_atom_site_fract_x
_atom_site_fract_y
_atom_site_fract_z
N1 N 0.500 0.000 0.000
Ca1 Ca 0.000 0.000 0.000
Re1 Re 0.613 0.613 0.774
N2 N 0.238 0.238 0.524
Re2 Re 0.387 0.387 0.226
N3 N 0.762 0.762 0.476
N4 N 0.000 0.500 0.000
```

***

Record 2
Computed, not measured: an optimized crystal structure of Ca2ReN3 at the PBE level of DFT.

Formation energy without anion corrections in kJ/mol of atoms: -74

The structure in CIF format:
```
data_Ca2ReN3
_cell_length_a 5.328
_cell_length_b 6.028
_cell_length_c 12.057
_cell_angle_alpha 87.00
_cell_angle_beta 83.19
_cell_angle_gamma 63.77
_symmetry_space_group_name_H-M 'P 1'
_symmetry_Int_Tables_number 1
loop_
_symmetry_equiv_pos_as_xyz
'x,y,z'
loop_
_atom_site_label
_atom_site_type_symbol
_atom_site_fract_x
_atom_site_fract_y
_atom_site_fract_z
Ca1 Ca 0.650 0.223 0.923
Re1 Re 0.298 0.987 0.830
Ca2 Ca 0.579 0.404 0.361
N1 N 0.350 0.820 0.460
Ca3 Ca 0.421 0.596 0.639
Ca4 Ca 0.350 0.777 0.077
Ca5 Ca 0.874 0.777 0.423
N2 N 0.635 0.730 0.250
N3 N 0.170 0.180 0.960
Re2 Re 0.285 0.013 0.330
Ca6 Ca 0.984 0.596 0.861
N4 N 0.861 0.660 0.623
N5 N 0.480 0.660 0.877
N6 N 0.139 0.340 0.377
N7 N 0.520 0.340 0.123
Re3 Re 0.715 0.987 0.670
N8 N 0.650 0.180 0.540
N9 N 0.365 0.270 0.750
Re4 Re 0.702 0.013 0.170
N10 N 0.008 0.983 0.750
Ca7 Ca 0.016 0.404 0.139
N11 N 0.830 0.820 0.040
N12 N 0.992 0.017 0.250
Ca8 Ca 0.126 0.223 0.577
```

***

Record 3
Computed, not measured: an optimized crystal structure of Ca2ReN3 at the PBE level of DFT.

Formation energy without anion corrections in kJ/mol of atoms: -63

The structure in CIF format:
```
data_Ca2ReN3
_cell_length_a 6.069
_cell_length_b 6.069
_cell_length_c 12.302
_cell_angle_alpha 90.00
_cell_angle_beta 90.00
_cell_angle_gamma 124.91
_symmetry_space_group_name_H-M 'P 1'
_symmetry_Int_Tables_number 1
loop_
_symmetry_equiv_pos_as_xyz
'x,y,z'
loop_
_atom_site_label
_atom_site_type_symbol
_atom_site_fract_x
_atom_site_fract_y
_atom_site_fract_z
N1 N 0.154 0.846 0.031
N2 N 0.346 0.654 0.531
N3 N 0.962 0.538 0.250
Ca1 Ca 0.950 0.050 0.132
Ca2 Ca 0.450 0.550 0.368
Re1 Re 0.759 0.241 0.345
Ca3 Ca 0.359 0.641 0.918
Re2 Re 0.259 0.741 0.155
N4 N 0.538 0.962 0.750
Ca4 Ca 0.641 0.359 0.082
Ca5 Ca 0.141 0.859 0.418
N5 N 0.428 0.572 0.125
Re3 Re 0.741 0.259 0.845
N6 N 0.654 0.346 0.469
Ca6 Ca 0.550 0.450 0.632
N7 N 0.846 0.154 0.969
Ca7 Ca 0.050 0.950 0.868
Ca8 Ca 0.859 0.141 0.582
N8 N 0.572 0.428 0.875
Re4 Re 0.241 0.759 0.655
N9 N 0.038 0.462 0.750
N10 N 0.462 0.038 0.250
N11 N 0.928 0.072 0.375
N12 N 0.072 0.928 0.625
```

***

Record 4
Computed, not measured: an optimized crystal structure of Ca5ReN6 at the PBE level of DFT.

Formation energy without anion corrections in kJ/mol of atoms: -67

The structure in CIF format:
```
data_Ca5ReN6
_cell_length_a 5.836
_cell_length_b 5.878
_cell_length_c 5.872
_cell_angle_alpha 59.97
_cell_angle_beta 80.17
_cell_angle_gamma 70.06
_symmetry_space_group_name_H-M 'P 1'
_symmetry_Int_Tables_number 1
loop_
_symmetry_equiv_pos_as_xyz
'x,y,z'
loop_
_atom_site_label
_atom_site_type_symbol
_atom_site_fract_x
_atom_site_fract_y
_atom_site_fract_z
Ca1 Ca 0.000 0.333 0.334
N1 N 0.784 0.788 0.000
N2 N 0.221 0.639 0.287
N3 N 0.779 0.361 0.713
Ca2 Ca 0.500 0.500 0.000
N4 N 0.779 0.074 0.287
Ca3 Ca 0.000 0.667 0.666
N5 N 0.221 0.926 0.713
Re1 Re 0.000 0.000 0.000
Ca4 Ca 0.500 0.165 0.670
Ca5 Ca 0.500 0.835 0.330
N6 N 0.216 0.212 0.000
```

***

Record 5
Computed, not measured: an optimized crystal structure of Ca4ReN5 at the PBE level of DFT.

Formation energy without anion corrections in kJ/mol of atoms: -81

The structure in CIF format:
```
data_Ca4ReN5
_cell_length_a 5.088
_cell_length_b 5.854
_cell_length_c 5.854
_cell_angle_alpha 79.11
_cell_angle_beta 64.24
_cell_angle_gamma 64.24
_symmetry_space_group_name_H-M 'P 1'
_symmetry_Int_Tables_number 1
loop_
_symmetry_equiv_pos_as_xyz
'x,y,z'
loop_
_atom_site_label
_atom_site_type_symbol
_atom_site_fract_x
_atom_site_fract_y
_atom_site_fract_z
Re1 Re 0.067 0.000 0.000
N1 N 0.081 0.663 0.172
Ca1 Ca 0.401 0.407 0.805
N2 N 0.252 0.828 0.663
Ca2 Ca 0.613 0.593 0.195
N3 N 0.744 0.172 0.337
Ca3 Ca 0.808 0.805 0.593
N4 N 0.916 0.337 0.828
N5 N 0.423 0.000 0.000
Ca4 Ca 0.205 0.195 0.407
```

***

Record 6
Computed, not measured: an optimized crystal structure of CaReSN2 at the PBE level of DFT.

Formation energy without anion corrections in kJ/mol of atoms: 204

The structure in CIF format:
```
data_CaReSN2
_cell_length_a 4.342
_cell_length_b 4.342
_cell_length_c 5.276
_cell_angle_alpha 90.00
_cell_angle_beta 90.00
_cell_angle_gamma 90.00
_symmetry_space_group_name_H-M 'P 1'
_symmetry_Int_Tables_number 1
loop_
_symmetry_equiv_pos_as_xyz
'x,y,z'
loop_
_atom_site_label
_atom_site_type_symbol
_atom_site_fract_x
_atom_site_fract_y
_atom_site_fract_z
S1 S 0.000 0.000 0.500
N1 N 0.000 0.500 0.000
Re1 Re 0.500 0.500 0.500
N2 N 0.500 0.000 0.000
Ca1 Ca 0.000 0.000 0.000
```

***

Record 7
Computed, not measured: an optimized crystal structure of CaReSN2 at the PBE level of DFT.

Formation energy without anion corrections in kJ/mol of atoms: -42

The structure in CIF format:
```
data_CaReSN2
_cell_length_a 3.888
_cell_length_b 3.888
_cell_length_c 5.177
_cell_angle_alpha 90.00
_cell_angle_beta 90.00
_cell_angle_gamma 90.00
_symmetry_space_group_name_H-M 'P 1'
_symmetry_Int_Tables_number 1
loop_
_symmetry_equiv_pos_as_xyz
'x,y,z'
loop_
_atom_site_label
_atom_site_type_symbol
_atom_site_fract_x
_atom_site_fract_y
_atom_site_fract_z
Re1 Re 0.000 0.000 0.000
Ca1 Ca 0.500 0.500 0.500
S1 S 0.000 0.000 0.500
N1 N 0.500 0.000 0.000
N2 N 0.000 0.500 0.000
```

***

Record 8
Computed, not measured: an optimized crystal structure of CaReSeN2 at the PBE level of DFT.

Formation energy without anion corrections in kJ/mol of atoms: 230

The structure in CIF format:
```
data_CaReSeN2
_cell_length_a 4.076
_cell_length_b 4.076
_cell_length_c 5.343
_cell_angle_alpha 90.00
_cell_angle_beta 90.00
_cell_angle_gamma 90.00
_symmetry_space_group_name_H-M 'P 1'
_symmetry_Int_Tables_number 1
loop_
_symmetry_equiv_pos_as_xyz
'x,y,z'
loop_
_atom_site_label
_atom_site_type_symbol
_atom_site_fract_x
_atom_site_fract_y
_atom_site_fract_z
Se1 Se 0.000 0.000 0.500
Ca1 Ca 0.000 0.000 0.000
N1 N 0.500 0.000 0.000
N2 N 0.000 0.500 0.000
Re1 Re 0.500 0.500 0.500
```

***

Record 9
Computed, not measured: an optimized crystal structure of CaReSeN2 at the PBE level of DFT.

Formation energy without anion corrections in kJ/mol of atoms: -30

The structure in CIF format:
```
data_CaReSeN2
_cell_length_a 3.926
_cell_length_b 3.926
_cell_length_c 5.419
_cell_angle_alpha 90.00
_cell_angle_beta 90.00
_cell_angle_gamma 90.00
_symmetry_space_group_name_H-M 'P 1'
_symmetry_Int_Tables_number 1
loop_
_symmetry_equiv_pos_as_xyz
'x,y,z'
loop_
_atom_site_label
_atom_site_type_symbol
_atom_site_fract_x
_atom_site_fract_y
_atom_site_fract_z
Se1 Se 0.000 0.000 0.500
Ca1 Ca 0.500 0.500 0.500
N1 N 0.000 0.500 0.000
Re1 Re 0.000 0.000 0.000
N2 N 0.500 0.000 0.000
```

***

Record 10
Computed, not measured: an optimized crystal structure of SrCaReN2 at the PBE level of DFT.

Formation energy without anion corrections in kJ/mol of atoms: 90

The structure in CIF format:
```
data_SrCaReN2
_cell_length_a 4.072
_cell_length_b 5.656
_cell_length_c 4.072
_cell_angle_alpha 90.00
_cell_angle_beta 90.00
_cell_angle_gamma 90.00
_symmetry_space_group_name_H-M 'P 1'
_symmetry_Int_Tables_number 1
loop_
_symmetry_equiv_pos_as_xyz
'x,y,z'
loop_
_atom_site_label
_atom_site_type_symbol
_atom_site_fract_x
_atom_site_fract_y
_atom_site_fract_z
Sr1 Sr 0.000 0.500 0.000
N1 N 0.000 0.000 0.500
N2 N 0.500 0.000 0.000
Re1 Re 0.000 0.000 0.000
Ca1 Ca 0.500 0.500 0.500
```